Material: MgIn2BPb
Method: DFT, SCAN
State: single point on PBEsol structure

Structure (CIF):
```
data_MgIn2BPb
_chemical_formula_sum 'Mg1 In2 B1 Pb1'
_symmetry_space_group_name_H-M 'P 4/m m m'
_symmetry_Int_Tables_number 123
_symmetry_space_group_name_Hall '-P 4 2'
_cell_length_a 6.0972
_cell_length_b 6.0972
_cell_length_c 4.0405
_cell_angle_alpha 90.00
_cell_angle_beta 90.00
_cell_angle_gamma 90.00
loop_
_atom_site_label
_atom_site_fract_x
_atom_site_fract_y
_atom_site_fract_z
Mg1 0.0000 0.0000 0.0000
In1 0.0000 0.5000 0.5000
B1 0.5000 0.5000 0.0000
Pb1 0.5000 0.5000 0.5000
```

Properties
- Total energy: -29.8652 eV/atom
- ΔE_f: 1.13 eV per atom
- Total magnetization: 0.00 μB/atom